DFT (PBE-GGA) results for a relaxed LaTmAs crystal.

Output
crystal system = trigonal
final energy = -5.325 eV/atom
D(E_F) = 1.402 states/eV/atom

Cell: 4.7923 4.7923 4.2892 Å, 90.00 90.00 120.00°
Fractional positions:
1 La 0.0000 0.0000 0.0000
2 Tm 0.6667 0.3333 0.4998
3 As 0.3333 0.6667 0.5885